Zn2CdAg7Sn2, optimized geometry, DFT PBE; mass density = 8.8 g/cm3; size of the total moment = 0.00 μB/f.u.; N(E_F) = 4.17 states/eV per cell; formation energy = 0.04 eV per atom
1.0
2.923 -2.992 0.000
2.923 2.992 0.000
-0.065 0.000 13.304
Zn Cd Ag Sn
2 1 7 2
Direct
0.001 0.001 0.184
0.999 0.999 0.816
0.500 0.500 0.500
0.000 0.000 0.500
0.000 0.500 0.338
0.000 0.500 0.662
0.238 0.238 0.000
0.500 0.000 0.338
0.500 0.000 0.662
0.762 0.762 0.000
0.499 0.499 0.822
0.501 0.501 0.178